## Y2Ho6Tm3Mg (GGA-PBE)

Data for an optimized crystal structure of Y2Ho6Tm3Mg.

abc: 6.0666 10.5115 11.6086
angles: 90.00 100.11 90.00
Last column: nearest neighbours and their distance in Å.
Space group C2/m (No. 12)
One atom of each set of equivalent atoms:
Y 0.0000 0.1663 0.0000 x4  3 Y 3.50-3.51, 3 Mg 3.50-3.51, 6 Ho 3.51
Ho 0.2493 0.3336 0.2509 x8  3 Tm 3.49-3.50, 6 Ho 3.50-3.51, 1 Mg 3.51, 2 Y 3.51
Ho 0.2500 0.0000 0.2519 x4  3 Tm 3.48, 6 Ho 3.50-3.51, 2 Y 3.51, 1 Mg 3.52
Tm 0.0000 0.0000 0.5000 x2  6 Ho 3.48-3.49, 6 Tm 3.50-3.51
Tm 0.0000 0.3339 0.5000 x4  6 Ho 3.48-3.50, 6 Tm 3.49-3.51
Mg 0.0000 0.5000 0.0000 x2  6 Y 3.50-3.51, 6 Ho 3.51-3.52

Values from the calculation:
- Raw total energy: -110.1 eV for the cell shown
- Total magnetization: 0.0 μB per formula unit